--- P ---
A plane-wave DFT calculation with meta-GGA SCAN was carried out for a PBEsol-optimized structure of HgSbPb2.

abc: 11.656 3.472 5.703
angles: 90.00 108.59 90.00
Space group Cm (No. 8)
Symmetry-distinct sites (fractional):
Hg: 0.000 0.000 0.000
Sb: 0.273 0.000 0.700
Pb: 0.019 0.500 0.507
Pb: 0.247 0.500 0.178

The value obtained for the magnetization is 0.000 μB/cell.



--- Q ---
A plane-wave DFT calculation with meta-GGA SCAN was carried out for a PBEsol-optimized structure of HgSbPb2.

abc: 3.965 3.965 7.007
angles: 90.00 90.00 90.00
Space group P4mm (No. 99)
Symmetry-distinct sites (fractional):
Hg: 0.000 0.000 0.000
Sb: 0.500 0.500 0.761
Pb: 0.000 0.000 0.536
Pb: 0.500 0.500 0.218

The value obtained for the magnetization is 0.000 μB/cell.



The most stable arrangement is Q, and the next structure is 15 meV per atom less stable.